No. 1
# TmTaNO (PBE, relaxed)
data_TmTaNO
_chemical_formula_sum 'Tm2 Ta2 N2 O2'
_cell_length_a 3.9736
_cell_length_b 3.9736
_cell_length_c 7.8166
_cell_angle_alpha 90.00
_cell_angle_beta 90.00
_cell_angle_gamma 90.00
_space_group_name_H-M_alt 'P 4/n m m'
_space_group_IT_number 129
loop_
_space_group_symop_operation_xyz
'x,y,z'
'-x,-y,-z'
'-y+1/2,x,z'
'y+1/2,-x,-z'
'-x+1/2,-y+1/2,z'
'x+1/2,y+1/2,-z'
'y,-x+1/2,z'
'-y,x+1/2,-z'
'x+1/2,-y,-z'
'-x+1/2,y,z'
'-y,-x,-z'
'y,x,z'
'-x,y+1/2,-z'
'x,-y+1/2,z'
'y+1/2,x+1/2,-z'
'-y+1/2,-x+1/2,z'
loop_
_atom_site_label
_atom_site_type_symbol
_atom_site_fract_x
_atom_site_fract_y
_atom_site_fract_z
Tm1 Tm 0.2500 0.2500 0.1255
Ta1 Ta 0.2500 0.7500 0.5000
N1 N 0.2500 0.2500 0.5901
O1 O 0.2500 0.7500 0.0000
# - Energy relative to the lowest polymorph listed for this composition: 0.000 eV per formula unit
# - Magnetization: 0.001 μB per formula unit
# - Calculated total energy: -9.169 eV/atom



No. 2
# YTaNO (PBE, relaxed)
data_YTaNO
_chemical_formula_sum 'Y2 Ta2 N2 O2'
_cell_length_a 3.5166
_cell_length_b 6.0862
_cell_length_c 5.8065
_cell_angle_alpha 90.00
_cell_angle_beta 90.00
_cell_angle_gamma 90.00
_space_group_name_H-M_alt 'P m c 21'
_space_group_IT_number 26
loop_
_space_group_symop_operation_xyz
'x,y,z'
'-x,-y,z+1/2'
'-x,y,z'
'x,-y,z+1/2'
loop_
_atom_site_label
_atom_site_type_symbol
_atom_site_fract_x
_atom_site_fract_y
_atom_site_fract_z
Y1 Y 0.0000 0.1456 0.0000
Ta1 Ta 0.5000 0.3200 0.5371
N1 N 0.5000 0.3898 0.8694
O1 O 0.0000 0.2412 0.3781
# - Energy relative to the lowest polymorph listed for this composition: 0.867 eV per formula unit
# - Magnetization: 0.015 μB per formula unit
# - Calculated total energy: -9.414 eV/atom



No. 3
# YTaN2O (PBE, relaxed)
data_YTaN2O
_chemical_formula_sum 'Y8 Ta8 N16 O8'
_cell_length_a 7.8899
_cell_length_b 7.8966
_cell_length_c 7.9392
_cell_angle_alpha 89.99
_cell_angle_beta 87.98
_cell_angle_gamma 89.89
_space_group_name_H-M_alt 'P -1'
_space_group_IT_number 2
loop_
_space_group_symop_operation_xyz
'x,y,z'
'-x,-y,-z'
loop_
_atom_site_label
_atom_site_type_symbol
_atom_site_fract_x
_atom_site_fract_y
_atom_site_fract_z
Y1 Y 0.0189 0.2523 0.0372
Y2 Y 0.0372 0.2486 0.5177
Y3 Y 0.4556 0.7497 0.9814
Y4 Y 0.4775 0.7524 0.4701
Ta1 Ta 0.2381 0.4948 0.7550
Ta2 Ta 0.2489 0.4906 0.2583
Ta3 Ta 0.2539 0.0130 0.7545
Ta4 Ta 0.2608 0.0084 0.2419
N1 N 0.9998 0.4448 0.2986
N2 N 0.1770 0.2489 0.7855
N3 N 0.1987 0.9392 0.0033
N4 N 0.2104 0.5572 0.9999
N5 N 0.2897 0.0467 0.5021
N6 N 0.2916 0.2517 0.1865
N7 N 0.3047 0.4491 0.4997
N8 N 0.4989 0.0554 0.7983
O1 O 0.0016 0.9319 0.7043
O2 O 0.2116 0.7515 0.3263
O3 O 0.3281 0.7458 0.7170
O4 O 0.4990 0.5689 0.2042
# - Magnetization: 0.001 μB per formula unit
# - Calculated total energy: -9.940 eV/atom



No. 4
# YTaNO (PBE, relaxed)
data_YTaNO
_chemical_formula_sum 'Y2 Ta2 N2 O2'
_cell_length_a 4.0167
_cell_length_b 4.0167
_cell_length_c 7.9804
_cell_angle_alpha 90.00
_cell_angle_beta 90.00
_cell_angle_gamma 90.00
_space_group_name_H-M_alt 'P 4/n m m'
_space_group_IT_number 129
loop_
_space_group_symop_operation_xyz
'x,y,z'
'-x,-y,-z'
'-y+1/2,x,z'
'y+1/2,-x,-z'
'-x+1/2,-y+1/2,z'
'x+1/2,y+1/2,-z'
'y,-x+1/2,z'
'-y,x+1/2,-z'
'x+1/2,-y,-z'
'-x+1/2,y,z'
'-y,-x,-z'
'y,x,z'
'-x,y+1/2,-z'
'x,-y+1/2,z'
'y+1/2,x+1/2,-z'
'-y+1/2,-x+1/2,z'
loop_
_atom_site_label
_atom_site_type_symbol
_atom_site_fract_x
_atom_site_fract_y
_atom_site_fract_z
Y1 Y 0.2500 0.2500 0.1287
Ta1 Ta 0.2500 0.7500 0.5000
N1 N 0.2500 0.2500 0.5779
O1 O 0.2500 0.7500 0.0000
# - Energy relative to the lowest polymorph listed for this composition: 0.000 eV per formula unit
# - Magnetization: 0.002 μB per formula unit
# - Calculated total energy: -9.631 eV/atom



No. 5
# YTaNO (PBE, relaxed)
data_YTaNO
_chemical_formula_sum 'Y2 Ta2 N2 O2'
_cell_length_a 3.5230
_cell_length_b 6.3282
_cell_length_c 5.5188
_cell_angle_alpha 90.00
_cell_angle_beta 90.00
_cell_angle_gamma 90.00
_space_group_name_H-M_alt 'P m c 21'
_space_group_IT_number 26
loop_
_space_group_symop_operation_xyz
'x,y,z'
'-x,-y,z+1/2'
'-x,y,z'
'x,-y,z+1/2'
loop_
_atom_site_label
_atom_site_type_symbol
_atom_site_fract_x
_atom_site_fract_y
_atom_site_fract_z
Y1 Y 0.0000 0.1643 0.0000
Ta1 Ta 0.5000 0.3509 0.4849
N1 N 0.0000 0.1984 0.5298
O1 O 0.5000 0.3452 0.8658
# - Energy relative to the lowest polymorph listed for this composition: 0.791 eV per formula unit
# - Magnetization: 0.003 μB per formula unit
# - Calculated total energy: -9.433 eV/atom



No. 6
# YTaNO (PBE, relaxed)
data_YTaNO
_chemical_formula_sum 'Y2 Ta2 N2 O2'
_cell_length_a 4.4120
_cell_length_b 4.4120
_cell_length_c 5.7752
_cell_angle_alpha 90.00
_cell_angle_beta 90.00
_cell_angle_gamma 90.00
_space_group_name_H-M_alt 'P 4/n m m'
_space_group_IT_number 129
loop_
_space_group_symop_operation_xyz
'x,y,z'
'-x,-y,-z'
'-y+1/2,x,z'
'y+1/2,-x,-z'
'-x+1/2,-y+1/2,z'
'x+1/2,y+1/2,-z'
'y,-x+1/2,z'
'-y,x+1/2,-z'
'x+1/2,-y,-z'
'-x+1/2,y,z'
'-y,-x,-z'
'y,x,z'
'-x,y+1/2,-z'
'x,-y+1/2,z'
'y+1/2,x+1/2,-z'
'-y+1/2,-x+1/2,z'
loop_
_atom_site_label
_atom_site_type_symbol
_atom_site_fract_x
_atom_site_fract_y
_atom_site_fract_z
Y1 Y 0.2500 0.7500 0.0000
Ta1 Ta 0.2500 0.2500 0.4706
N1 N 0.2500 0.2500 0.1320
O1 O 0.2500 0.7500 0.5000
# - Energy relative to the lowest polymorph listed for this composition: 1.967 eV per formula unit
# - Magnetization: 0.171 μB per formula unit
# - Calculated total energy: -9.139 eV/atom



No. 7
# YTaN2O (PBE, relaxed)
data_YTaN2O
_chemical_formula_sum 'Y4 Ta4 N8 O4'
_cell_length_a 5.5988
_cell_length_b 5.6151
_cell_length_c 9.7073
_cell_angle_alpha 90.08
_cell_angle_beta 106.49
_cell_angle_gamma 119.87
_space_group_name_H-M_alt 'P 1'
_space_group_IT_number 1
loop_
_space_group_symop_operation_xyz
'x,y,z'
loop_
_atom_site_label
_atom_site_type_symbol
_atom_site_fract_x
_atom_site_fract_y
_atom_site_fract_z
Y1 Y 0.0000 0.0000 0.0000
Y2 Y 0.9998 0.4959 0.4891
Y3 Y 0.4940 0.1935 0.7441
Y4 Y 0.5025 0.7014 0.2489
Ta1 Ta 0.2433 0.0844 0.3614
Ta2 Ta 0.2641 0.5932 0.8748
Ta3 Ta 0.7372 0.3305 0.1224
Ta4 Ta 0.7379 0.8519 0.6299
N1 N 0.0735 0.2789 0.2193
N2 N 0.4387 0.4563 0.0293
N3 N 0.4469 0.9455 0.5222
N4 N 0.5007 0.6137 0.7430
N5 N 0.5054 0.1224 0.2457
N6 N 0.5522 0.0125 0.9585
N7 N 0.9401 0.7069 0.2704
N8 N 0.9420 0.1916 0.7770
O1 O 0.0264 0.1067 0.5013
O2 O 0.0646 0.7530 0.7005
O3 O 0.5871 0.5210 0.4621
O4 O 0.9849 0.5924 0.9800
# - Magnetization: 0.001 μB per formula unit
# - Calculated total energy: -9.916 eV/atom



No. 8
# YTaN2O (PBE, relaxed)
data_YTaN2O
_chemical_formula_sum 'Y8 Ta8 N16 O8'
_cell_length_a 7.8761
_cell_length_b 7.9796
_cell_length_c 11.0776
_cell_angle_alpha 90.00
_cell_angle_beta 134.67
_cell_angle_gamma 90.00
_space_group_name_H-M_alt 'P 1 21/c 1'
_space_group_IT_number 14
loop_
_space_group_symop_operation_xyz
'x,y,z'
'-x,-y,-z'
'-x,y+1/2,-z+1/2'
'x,-y+1/2,z+1/2'
loop_
_atom_site_label
_atom_site_type_symbol
_atom_site_fract_x
_atom_site_fract_y
_atom_site_fract_z
Y1 Y 0.2167 0.0096 0.4772
Y2 Y 0.2401 0.5045 0.4966
Ta1 Ta 0.2656 0.2485 0.2557
Ta2 Ta 0.2677 0.7460 0.7623
N1 N 0.1799 0.0033 0.2024
N2 N 0.2393 0.5033 0.2670
N3 N 0.4285 0.2386 0.6785
N4 N 0.4308 0.7176 0.0015
O1 O 0.0763 0.7232 0.0013
O2 O 0.0792 0.2462 0.8294
# - Magnetization: 0.001 μB per formula unit
# - Calculated total energy: -9.899 eV/atom



Copy entry 7 word for word.
# YTaN2O (PBE, relaxed)
data_YTaN2O
_chemical_formula_sum 'Y4 Ta4 N8 O4'
_cell_length_a 5.5988
_cell_length_b 5.6151
_cell_length_c 9.7073
_cell_angle_alpha 90.08
_cell_angle_beta 106.49
_cell_angle_gamma 119.87
_space_group_name_H-M_alt 'P 1'
_space_group_IT_number 1
loop_
_space_group_symop_operation_xyz
'x,y,z'
loop_
_atom_site_label
_atom_site_type_symbol
_atom_site_fract_x
_atom_site_fract_y
_atom_site_fract_z
Y1 Y 0.0000 0.0000 0.0000
Y2 Y 0.9998 0.4959 0.4891
Y3 Y 0.4940 0.1935 0.7441
Y4 Y 0.5025 0.7014 0.2489
Ta1 Ta 0.2433 0.0844 0.3614
Ta2 Ta 0.2641 0.5932 0.8748
Ta3 Ta 0.7372 0.3305 0.1224
Ta4 Ta 0.7379 0.8519 0.6299
N1 N 0.0735 0.2789 0.2193
N2 N 0.4387 0.4563 0.0293
N3 N 0.4469 0.9455 0.5222
N4 N 0.5007 0.6137 0.7430
N5 N 0.5054 0.1224 0.2457
N6 N 0.5522 0.0125 0.9585
N7 N 0.9401 0.7069 0.2704
N8 N 0.9420 0.1916 0.7770
O1 O 0.0264 0.1067 0.5013
O2 O 0.0646 0.7530 0.7005
O3 O 0.5871 0.5210 0.4621
O4 O 0.9849 0.5924 0.9800
# - Magnetization: 0.001 μB per formula unit
# - Calculated total energy: -9.916 eV/atom